# Co2HgBiO, relaxed, DFT PBE with a Hubbard U
data_Co2HgBiO
_cell_length_a 4.1260
_cell_length_b 4.1260
_cell_length_c 5.6109
_cell_angle_alpha 90.00
_cell_angle_beta 90.00
_cell_angle_gamma 90.00
_symmetry_space_group_name_H-M 'P 4/m m m'
_symmetry_Int_Tables_number 123
_symmetry_space_group_name_Hall '-P 4 2'
loop_
_atom_site_label
_atom_site_type_symbol
_atom_site_fract_x
_atom_site_fract_y
_atom_site_fract_z
Co1 Co 0.0000 0.5000 0.0000
Hg1 Hg 0.0000 0.0000 0.5000
Bi1 Bi 0.5000 0.5000 0.5000
O1 O 0.0000 0.0000 0.0000
# N(E_F): 0.62 states/eV per atom
# Calculated total energy: -3.645 eV/atom
# ρ: 9.4 g/cm³